Below is a relaxed structure of Nb6InMo, with properties calculated at the PBE level.

The calculation puts the formation energy at -2.83 kJ/mol of atoms. As for the crystal system: trigonal.

a = 5.2754 Å, b = 5.2754 Å, c = 5.2754 Å
α = 89.94°, β = 89.94°, γ = 89.94°
Closest atoms and distances in Å follow each position.
Positions (direct):
Nb 0.0011 0.5007 0.7419  2 Nb 2.55-2.72
Nb 0.2581 0.9989 0.4993  2 Nb 2.55-2.72
Nb 0.4993 0.2581 0.9989  2 Nb 2.55-2.72
Nb 0.5007 0.7419 0.0011  2 Nb 2.55-2.72
Nb 0.7419 0.0011 0.5007  2 Nb 2.55-2.72
Nb 0.9989 0.4993 0.2581  2 Nb 2.55-2.72
In 0.0000 0.0000 0.0000  12 Nb 2.97
Mo 0.5000 0.5000 0.5000  12 Nb 2.92-2.94



Below is a relaxed structure of SbHPb, with properties calculated at the PBE level.

The energy above the most stable polymorph in this dataset comes out at 2.76 kcal/mol of atoms. As for the crystal system: monoclinic.

a = 4.7239 Å, b = 4.7239 Å, c = 8.8701 Å
α = 105.56°, β = 105.56°, γ = 60.07°
Closest atoms and distances in Å follow each position.
Positions (direct):
Sb 0.1015 0.1015 0.3039  1 H 1.74
Sb 0.8985 0.8985 0.6961  1 H 1.74
H 0.1713 0.1713 0.5100  1 Sb 1.74
H 0.8287 0.8287 0.4900  1 Sb 1.74
Pb 0.3825 0.3825 0.1478  3 Sb 3.03
Pb 0.6175 0.6175 0.8522  3 Sb 3.03



Below is a relaxed structure of LiTm2PtO5, with properties calculated at the PBE level.

Its uncorrected formation energy is -2.286 eV/atom. As for the crystal system: tetragonal.

a = 6.3969 Å, b = 6.3969 Å, c = 5.7835 Å
α = 90.00°, β = 90.00°, γ = 90.00°
Closest atoms and distances in Å follow each position.
Positions (direct):
Li 0.0000 0.0000 0.0000  10 O 2.89-2.90, 4 Pt 3.20
Li 0.5000 0.5000 0.0000  10 O 2.89-2.90, 4 Pt 3.20
Tm 0.1748 0.3252 0.5000  4 O 2.17-2.36
Tm 0.3252 0.8252 0.5000  4 O 2.17-2.36
Tm 0.6748 0.1748 0.5000  4 O 2.17-2.36
Tm 0.8252 0.6748 0.5000  4 O 2.17-2.36
Pt 0.0000 0.5000 0.0000  4 O 1.97
Pt 0.5000 0.0000 0.0000  4 O 1.97
O 0.0000 0.0000 0.5000  4 Tm 2.36
O 0.1392 0.6392 0.2628  1 Pt 1.97, 1 Tm 2.17
O 0.1392 0.6392 0.7372  1 Pt 1.97, 1 Tm 2.17
O 0.3608 0.1392 0.2628  1 Pt 1.97, 1 Tm 2.17
O 0.3608 0.1392 0.7372  1 Pt 1.97, 1 Tm 2.17
O 0.5000 0.5000 0.5000  4 Tm 2.36
O 0.6392 0.8608 0.2628  1 Pt 1.97, 1 Tm 2.17
O 0.6392 0.8608 0.7372  1 Pt 1.97, 1 Tm 2.17
O 0.8608 0.3608 0.2628  1 Pt 1.97, 1 Tm 2.17
O 0.8608 0.3608 0.7372  1 Pt 1.97, 1 Tm 2.17